The following is a DFT calculation (PBE-GGA) of Li2Si2Ag after structural relaxation.

Summary:
energy relative to the elements, uncorrected: 2.08 kcal/mol of atoms
E: -0.12548 hartree per atom

Cell: 3.739 3.739 11.822 Å, 90.00 90.00 90.00°
Space group I4/mmm (No. 139)
Unique sites:
1 Li 0.000 0.500 0.250 (multiplicity 4)
2 Si 0.000 0.000 0.095 (multiplicity 4)
3 Ag 0.000 0.000 0.500 (multiplicity 2)